A plane-wave DFT calculation with PBE-GGA was carried out for a relaxed structure of CuHg3.

Output
- calculated total energy (eV/cell) = -17.46
- DFT formation energy (eV per atom) = 0.159
- energy above the most stable polymorph in this dataset (meV per atom) = 41

```
data_CuHg3
_cell_length_a 8.405
_cell_length_b 11.601
_cell_length_c 3.830
_cell_angle_alpha 90.00
_cell_angle_beta 90.00
_cell_angle_gamma 90.00
_symmetry_space_group_name_H-M 'C m c m'
_symmetry_Int_Tables_number 63
_symmetry_space_group_name_Hall '-C 2c 2'
loop_
_atom_site_label
_atom_site_type_symbol
_atom_site_fract_x
_atom_site_fract_y
_atom_site_fract_z
Cu1 Cu 0.000 0.064 0.250
Hg1 Hg 0.000 0.386 0.750
Hg2 Hg 0.209 0.141 0.750
```

A plane-wave DFT calculation with PBE-GGA was carried out for a relaxed structure of CuHg.

Output
- calculated total energy (eV/cell) = -15.52
- DFT formation energy (eV per atom) = 0.259

```
data_CuHg
_cell_length_a 2.969
_cell_length_b 10.830
_cell_length_c 4.425
_cell_angle_alpha 90.00
_cell_angle_beta 90.00
_cell_angle_gamma 90.00
_symmetry_space_group_name_H-M 'C m c m'
_symmetry_Int_Tables_number 63
_symmetry_space_group_name_Hall '-C 2c 2'
loop_
_atom_site_label
_atom_site_type_symbol
_atom_site_fract_x
_atom_site_fract_y
_atom_site_fract_z
Cu1 Cu 0.000 0.161 0.250
Hg1 Hg 0.000 0.407 0.250
```

A plane-wave DFT calculation with PBE-GGA was carried out for a relaxed structure of Cu7Hg5.

Output
- calculated total energy (eV/cell) = -55.00
- DFT formation energy (eV per atom) = 0.224

```
data_Cu7Hg5
_cell_length_a 7.697
_cell_length_b 7.697
_cell_length_c 7.528
_cell_angle_alpha 90.00
_cell_angle_beta 90.00
_cell_angle_gamma 90.00
_symmetry_space_group_name_H-M 'I 4 m m'
_symmetry_Int_Tables_number 107
_symmetry_space_group_name_Hall 'I 4 -2'
loop_
_atom_site_label
_atom_site_type_symbol
_atom_site_fract_x
_atom_site_fract_y
_atom_site_fract_z
Cu1 Cu 0.000 0.000 0.000
Cu2 Cu 0.000 0.265 0.809
Cu3 Cu 0.000 0.500 0.065
Hg1 Hg 0.000 0.000 0.355
Hg2 Hg 0.249 0.249 0.564
```